# 1
Compound: Ga2CuAg8
Source: the Alexandria database
Functional: GGA-PBE
Structure: relaxed

Unit cell a=4.2138 b=6.4676 c=7.5827 alpha=106.30 beta=106.13 gamma=90.00
Sites, in units of the cell vectors:
Ag 0.5923 0.4505 0.1846
Ag 0.3214 0.0799 0.6427
Ag 0.1386 0.1924 0.2773
Ag 0.0457 0.7355 0.0915
Ag 0.8614 0.8076 0.7227
Ag 0.6786 0.9201 0.3573
Ag 0.4077 0.5495 0.8154
Ag 0.9543 0.2645 0.9085
Cu 0.5000 0.0000 0.0000
Ga 0.2235 0.6423 0.4471
Ga 0.7765 0.3577 0.5529

Results
The offset from the most stable computed form is 0.0 kJ per mole of atoms. The calculated volume comes out at 17.260 Å³/atom. For the energy, the calculation gives -2.972 eV per atom.

***

# 2
Compound: Ga4Cu15Ag
Source: the Alexandria database
Functional: GGA-PBE
Structure: relaxed

Unit cell a=3.7537 b=3.7537 c=18.1927 alpha=90.00 beta=90.00 gamma=90.00
Sites, in units of the cell vectors:
Ga 0.0000 0.0000 0.2020
Ga 0.0000 0.0000 0.4009
Ga 0.0000 0.0000 0.5991
Ga 0.0000 0.0000 0.7980
Cu 0.5000 0.5000 0.0000
Cu 0.5000 0.5000 0.2045
Cu 0.5000 0.5000 0.4011
Cu 0.5000 0.5000 0.5989
Cu 0.5000 0.5000 0.7955
Cu 0.5000 0.0000 0.1053
Cu 0.5000 0.0000 0.3022
Cu 0.5000 0.0000 0.5000
Cu 0.5000 0.0000 0.6978
Cu 0.5000 0.0000 0.8947
Cu 0.0000 0.5000 0.1053
Cu 0.0000 0.5000 0.3022
Cu 0.0000 0.5000 0.5000
Cu 0.0000 0.5000 0.6978
Cu 0.0000 0.5000 0.8947
Ag 0.0000 0.0000 0.0000

Results
The calculated volume comes out at 12.817 Å³/atom. For the energy, the calculation gives -3.885 eV per atom.

***

# 3
Compound: Ga8CuAg2
Source: the Alexandria database
Functional: GGA-PBE
Structure: relaxed

Unit cell a=4.0758 b=6.5073 c=8.6498 alpha=112.14 beta=103.63 gamma=90.00
Sites, in units of the cell vectors:
Ga 0.3654 0.6525 0.7308
Ga 0.6375 0.9278 0.2751
Ga 0.7728 0.7692 0.5457
Ga 0.0002 0.2427 0.0003
Ga 0.2272 0.2308 0.4543
Ga 0.3625 0.0722 0.7249
Ga 0.6346 0.3475 0.2692
Ga 0.9998 0.7573 0.9997
Cu 0.5000 0.0000 0.0000
Ag 0.8555 0.3535 0.7109
Ag 0.1445 0.6465 0.2891

Results
The calculated volume comes out at 18.682 Å³/atom. For the energy, the calculation gives -3.075 eV per atom.

***

# 4
Compound: GaCu2Ag2
Source: the Alexandria database
Functional: GGA-PBE
Structure: relaxed

Unit cell a=7.1848 b=7.1848 c=3.1570 alpha=90.00 beta=90.00 gamma=90.00
Sites, in units of the cell vectors:
Cu 0.1493 0.6493 0.5000
Cu 0.6493 0.8507 0.5000
Cu 0.8507 0.3507 0.5000
Cu 0.3507 0.1493 0.5000
Ga 0.0000 0.0000 0.0000
Ga 0.5000 0.5000 0.0000
Ag 0.3533 0.8533 0.0000
Ag 0.8533 0.6467 0.0000
Ag 0.6467 0.1467 0.0000
Ag 0.1467 0.3533 0.0000

Results
The offset from the most stable computed form is 10.6 kJ per mole of atoms. The calculated volume comes out at 16.297 Å³/atom. For the energy, the calculation gives -3.202 eV per atom.

***

# 5
Compound: Ga7CuAg4
Source: the Alexandria database
Functional: GGA-PBE
Structure: relaxed

Unit cell a=3.0740 b=3.0740 c=25.6021 alpha=90.00 beta=90.00 gamma=120.00
Sites, in units of the cell vectors:
Ga 0.0000 0.0000 0.0000
Ga 0.3333 0.6667 0.4254
Ga 0.6667 0.3333 0.5746
Ga 0.3333 0.6667 0.1712
Ga 0.6667 0.3333 0.8288
Ga 0.0000 0.0000 0.7469
Ga 0.0000 0.0000 0.2531
Cu 0.0000 0.0000 0.5000
Ag 0.3333 0.6667 0.9141
Ag 0.6667 0.3333 0.0859
Ag 0.3333 0.6667 0.6615
Ag 0.6667 0.3333 0.3385

Results
The calculated volume comes out at 17.460 Å³/atom. For the energy, the calculation gives -3.052 eV per atom.

***

# 6
Compound: GaCuAg14
Source: the Alexandria database
Functional: GGA-PBE
Structure: relaxed

Unit cell a=5.8391 b=5.8391 c=9.5242 alpha=90.00 beta=90.00 gamma=119.93
Sites, in units of the cell vectors:
Ga 0.5429 0.4571 0.5000
Cu 0.0430 0.9570 0.5000
Ag 0.2066 0.7934 0.0000
Ag 0.7065 0.2935 0.0000
Ag 0.0460 0.4548 0.5000
Ag 0.2086 0.2916 0.0000
Ag 0.5452 0.9540 0.5000
Ag 0.7084 0.7914 0.0000
Ag 0.3717 0.1258 0.7422
Ag 0.3717 0.1258 0.2578
Ag 0.8742 0.6283 0.7422
Ag 0.8742 0.6283 0.2578
Ag 0.3747 0.6253 0.7505
Ag 0.3747 0.6253 0.2495
Ag 0.8758 0.1242 0.7489
Ag 0.8758 0.1242 0.2511

Results
The calculated volume comes out at 17.588 Å³/atom. For the energy, the calculation gives -2.906 eV per atom.

***

# 7
Compound: Ga3CuAg
Source: the Alexandria database
Functional: GGA-PBE
Structure: relaxed

Unit cell a=4.6823 b=4.6823 c=4.6823 alpha=90.00 beta=90.00 gamma=90.00
Sites, in units of the cell vectors:
Cu 0.0000 0.0000 0.0000
Ga 0.0000 0.5000 0.0000
Ga 0.0000 0.0000 0.5000
Ga 0.5000 0.0000 0.0000
Ag 0.5000 0.5000 0.5000

Results
The offset from the most stable computed form is 22.8 kJ per mole of atoms. The calculated volume comes out at 20.530 Å³/atom. For the energy, the calculation gives -2.967 eV per atom.

***

# 8
Compound: GaCu2Ag2
Source: the Alexandria database
Functional: GGA-PBE
Structure: relaxed

Unit cell a=3.7880 b=3.7880 c=6.7300 alpha=73.65 beta=73.65 gamma=90.00
Sites, in units of the cell vectors:
Cu 0.4054 0.4054 0.1891
Cu 0.5946 0.5946 0.8109
Ga 0.0000 0.0000 0.0000
Ag 0.7500 0.2500 0.5000
Ag 0.2500 0.7500 0.5000

Results
The offset from the most stable computed form is 21.3 kJ per mole of atoms. The calculated volume comes out at 17.718 Å³/atom. For the energy, the calculation gives -3.090 eV per atom.

***

# 9
Compound: Ga3Cu2Ag4
Source: the Alexandria database
Functional: GGA-PBE
Structure: relaxed

Unit cell a=4.7405 b=8.2098 c=8.2101 alpha=69.42 beta=81.73 gamma=81.73
Sites, in units of the cell vectors:
Ga 0.0679 0.9665 0.6823
Ga 0.4321 0.3177 0.0335
Ga 0.9321 0.0335 0.3177
Ga 0.5679 0.6823 0.9665
Ga 0.2500 0.3865 0.6135
Ga 0.7500 0.6135 0.3865
Cu 0.1733 0.7260 0.4656
Cu 0.3267 0.5344 0.2740
Cu 0.8267 0.2740 0.5344
Cu 0.6733 0.4656 0.7260
Ag 0.5290 0.0573 0.8124
Ag 0.9710 0.1876 0.9427
Ag 0.4710 0.9427 0.1876
Ag 0.0290 0.8124 0.0573
Ag 0.6089 0.8193 0.6025
Ag 0.8911 0.3975 0.1807
Ag 0.3911 0.1807 0.3975
Ag 0.1089 0.6025 0.8193

Results
The calculated volume comes out at 16.363 Å³/atom. For the energy, the calculation gives -3.170 eV per atom.

***

# 10
Compound: Ga2CuAg
Source: the Alexandria database
Functional: GGA-PBE
Structure: relaxed

Unit cell a=4.0102 b=4.0102 c=9.2251 alpha=77.45 beta=77.45 gamma=90.00
Sites, in units of the cell vectors:
Cu 0.5000 0.5000 0.0000
Cu 0.2500 0.7500 0.5000
Ga 0.6031 0.1250 0.2500
Ga 0.1469 0.6250 0.2500
Ga 0.3750 0.3969 0.7500
Ga 0.8750 0.8531 0.7500
Ag 0.0000 0.0000 0.0000
Ag 0.7500 0.2500 0.5000

Results
The offset from the most stable computed form is 10.3 kJ per mole of atoms. The calculated volume comes out at 17.647 Å³/atom. For the energy, the calculation gives -3.148 eV per atom.

***

# 11
Compound: GaCu2Ag
Source: the Alexandria database
Functional: GGA-PBE
Structure: relaxed

Unit cell a=3.0032 b=3.0032 c=6.3605 alpha=90.00 beta=90.00 gamma=90.00
Sites, in units of the cell vectors:
Cu 0.0000 0.0000 0.7731
Cu 0.0000 0.0000 0.2269
Ga 0.5000 0.5000 0.0000
Ag 0.5000 0.5000 0.5000

Results
The calculated volume comes out at 14.342 Å³/atom. For the energy, the calculation gives -3.522 eV per atom.

***

# 12
Compound: GaCu2Ag2
Source: the Alexandria database
Functional: GGA-PBE
Structure: relaxed

Unit cell a=3.4760 b=3.4760 c=7.4181 alpha=76.45 beta=76.45 gamma=90.00
Sites, in units of the cell vectors:
Cu 0.7500 0.2500 0.5000
Cu 0.2500 0.7500 0.5000
Ga 0.0000 0.0000 0.0000
Ag 0.3982 0.3982 0.2037
Ag 0.6018 0.6018 0.7963

Results
The offset from the most stable computed form is 13.7 kJ per mole of atoms. The calculated volume comes out at 16.914 Å³/atom. For the energy, the calculation gives -3.170 eV per atom.

***

Question: What is the energy in the ninth record?
Answer: -3.170 eV per atom

***

Question: Which formula does entry 4 have?
Answer: GaCu2Ag2

***

Repeat the fourth record exactly.
Compound: GaCu2Ag2
Source: the Alexandria database
Functional: GGA-PBE
Structure: relaxed

Unit cell a=7.1848 b=7.1848 c=3.1570 alpha=90.00 beta=90.00 gamma=90.00
Sites, in units of the cell vectors:
Cu 0.1493 0.6493 0.5000
Cu 0.6493 0.8507 0.5000
Cu 0.8507 0.3507 0.5000
Cu 0.3507 0.1493 0.5000
Ga 0.0000 0.0000 0.0000
Ga 0.5000 0.5000 0.0000
Ag 0.3533 0.8533 0.0000
Ag 0.8533 0.6467 0.0000
Ag 0.6467 0.1467 0.0000
Ag 0.1467 0.3533 0.0000

Results
The offset from the most stable computed form is 10.6 kJ per mole of atoms. The calculated volume comes out at 16.297 Å³/atom. For the energy, the calculation gives -3.202 eV per atom.